[1]
{"formula": "ReTe2Br", "functional": "PBE-GGA", "state": "relaxed", "lattice_angstrom": [[2.010, 1.161, 8.442], [-2.010, 1.161, 8.442], [0.000, -2.321, 8.442]], "species": ["Re", "Te", "Te", "Br"], "frac_coords": [[0.000, 0.000, 0.000], [0.388, 0.388, 0.388], [0.612, 0.612, 0.612], [0.500, 0.500, 0.500]], "spacegroup": "R-3m (166)", "m_tot_mub_per_atom": 0.00, "raw_formation_energy_ev_per_atom": 0.191, "rho_kg_m3": 7326, "relative_energy_mev_per_atom": 231}

=====

[2]
{"formula": "RbSn", "functional": "PBE-GGA", "state": "relaxed", "lattice_angstrom": [[0.000, 4.436, 4.436], [4.436, 0.000, 4.436], [4.436, 4.436, 0.000]], "species": ["Rb", "Sn"], "frac_coords": [[0.000, 0.000, 0.000], [0.750, 0.750, 0.750]], "spacegroup": "F-43m (216)", "m_tot_mub_per_atom": 1.50, "dft_energy_ev_per_atom": -1.766, "rho_kg_m3": 1942}

=====

[3]
{"formula": "CaPuGePt", "functional": "PBE-GGA", "state": "relaxed", "lattice_angstrom": [[0.000, 3.550, 3.550], [3.550, 0.000, 3.550], [3.550, 3.550, 0.000]], "species": ["Ca", "Pu", "Ge", "Pt"], "frac_coords": [[0.000, 0.000, 0.000], [0.500, 0.500, 0.500], [0.250, 0.250, 0.250], [0.750, 0.750, 0.750]], "spacegroup": "F-43m (216)", "m_tot_mub_per_atom": 1.26, "dft_energy_ev_per_atom": -7.329, "rho_kg_m3": 10243}

=====

[4]
{"formula": "UHgPb2", "functional": "PBE-GGA", "state": "relaxed", "lattice_angstrom": [[4.874, 0.000, 0.000], [0.000, 4.874, 0.000], [0.000, 0.000, 4.480]], "species": ["U", "Hg", "Pb", "Pb"], "frac_coords": [[0.000, 0.000, 0.000], [0.500, 0.500, 0.000], [0.000, 0.500, 0.500], [0.500, 0.000, 0.500]], "spacegroup": "P4/mmm (123)", "m_tot_mub_per_atom": 0.68, "rho_kg_m3": 13311, "relative_energy_mev_per_atom": 0}

=====

[5]
{"formula": "Nd2HSe", "functional": "PBE-GGA", "state": "relaxed", "lattice_angstrom": [[1.965, 1.134, 7.522], [-1.965, 1.134, 7.522], [0.000, -2.269, 7.522]], "species": ["Nd", "Nd", "H", "Se"], "frac_coords": [[0.000, 0.000, 0.000], [0.165, 0.165, 0.165], [0.353, 0.353, 0.353], [0.582, 0.582, 0.582]], "spacegroup": "R3m (160)", "m_tot_mub_per_atom": 0.20, "rho_kg_m3": 6082, "relative_energy_mev_per_atom": 112}

=====

[6]
{"formula": "TbAl6Fe", "functional": "PBE-GGA", "state": "relaxed", "lattice_angstrom": [[2.937, 1.695, 5.480], [-2.937, 1.695, 5.480], [0.000, -3.391, 5.480]], "species": ["Tb", "Al", "Al", "Al", "Al", "Al", "Al", "Fe"], "frac_coords": [[0.000, 0.000, 0.000], [0.060, 0.592, 0.592], [0.408, 0.408, 0.940], [0.408, 0.940, 0.408], [0.592, 0.060, 0.592], [0.592, 0.592, 0.060], [0.940, 0.408, 0.408], [0.500, 0.500, 0.500]], "spacegroup": "R-3m (166)", "m_tot_mub_per_atom": 0.05, "dft_energy_ev_per_atom": -4.392, "rho_kg_m3": 3821}